No. 1
# LiHfTl

LiHfTl after structural relaxation (PBE, Alexandria).

Results
excess energy over the best structure of this formula in the dataset = 200.6 meV/atom
calculated formation energy = 0.089 eV/atom
V = 21.26 Å³ per atom

abc: 8.8918 8.8918 4.5721
angles: 90.00 90.00 159.33
Atoms (fractional coordinates):
1 Li 0.0000 0.0000 0.0000
2 Li 0.0000 0.0000 0.5000
3 Hf 0.2045 0.7955 0.7500
4 Hf 0.7955 0.2045 0.2500
5 Tl 0.3813 0.6187 0.7500
6 Tl 0.6187 0.3813 0.2500

***

No. 2
# LiHfTl

LiHfTl after structural relaxation (PBE, Alexandria).

Results
excess energy over the best structure of this formula in the dataset = 211.2 meV/atom
calculated formation energy = 0.100 eV/atom
V = 21.18 Å³ per atom

abc: 4.9721 4.9721 5.9347
angles: 90.00 90.00 120.00
Atoms (fractional coordinates):
1 Li 0.0000 0.0000 0.0000
2 Li 0.0000 0.0000 0.5000
3 Hf 0.3333 0.6667 0.2500
4 Hf 0.6667 0.3333 0.7500
5 Tl 0.3333 0.6667 0.7500
6 Tl 0.6667 0.3333 0.2500

***

No. 3
# LiHfTl

LiHfTl after structural relaxation (PBE, Alexandria).

Results
excess energy over the best structure of this formula in the dataset = 467.3 meV/atom
calculated formation energy = 0.356 eV/atom
V = 20.81 Å³ per atom

abc: 4.1234 4.1234 7.3440
angles: 90.00 90.00 90.00
Atoms (fractional coordinates):
1 Li 0.2500 0.2500 0.2437
2 Li 0.7500 0.7500 0.7563
3 Hf 0.2500 0.2500 0.6218
4 Hf 0.7500 0.7500 0.3782
5 Tl 0.2500 0.7500 0.0000
6 Tl 0.7500 0.2500 0.0000

***

No. 4
# LiHfTl

LiHfTl after structural relaxation (PBE, Alexandria).

Results
excess energy over the best structure of this formula in the dataset = 57.6 meV/atom
calculated formation energy = -0.054 eV/atom
V = 21.16 Å³ per atom

abc: 3.2332 4.1909 9.3889
angles: 90.00 93.75 90.00
Atoms (fractional coordinates):
1 Li 0.2301 0.2500 0.0798
2 Li 0.7699 0.7500 0.9202
3 Hf 0.2348 0.2500 0.4165
4 Hf 0.7652 0.7500 0.5835
5 Tl 0.2835 0.2500 0.7693
6 Tl 0.7165 0.7500 0.2307

***

No. 5
# LiHf2Tl

LiHf2Tl after structural relaxation (PBE, Alexandria).

Results
excess energy over the best structure of this formula in the dataset = 263.0 meV/atom
calculated formation energy = 0.489 eV/atom
V = 21.47 Å³ per atom

abc: 6.2214 6.2214 6.2214
angles: 101.39 101.39 127.24
Atoms (fractional coordinates):
1 Li 0.0000 0.0000 0.0000
2 Li 0.7500 0.2500 0.5000
3 Hf 0.1116 0.6250 0.9866
4 Hf 0.3750 0.3616 0.4866
5 Hf 0.6384 0.1250 0.0134
6 Hf 0.8750 0.8884 0.5134
7 Tl 0.2500 0.7500 0.5000
8 Tl 0.5000 0.5000 0.0000

***

No. 6
# Li3HfTl4

Li3HfTl4 after structural relaxation (PBE, Alexandria).

Results
calculated formation energy = -0.124 eV/atom
V = 21.20 Å³ per atom

abc: 3.3890 3.3890 14.7674
angles: 90.00 90.00 90.00
Atoms (fractional coordinates):
1 Li 0.0000 0.0000 0.0000
2 Li 0.0000 0.0000 0.2497
3 Li 0.0000 0.0000 0.7503
4 Hf 0.0000 0.0000 0.5000
5 Tl 0.5000 0.5000 0.1265
6 Tl 0.5000 0.5000 0.3623
7 Tl 0.5000 0.5000 0.6377
8 Tl 0.5000 0.5000 0.8735

***

No. 7
# LiHfTl

LiHfTl after structural relaxation (PBE, Alexandria).

Results
excess energy over the best structure of this formula in the dataset = 131.4 meV/atom
calculated formation energy = 0.020 eV/atom
V = 21.18 Å³ per atom

abc: 5.0222 3.2481 8.1351
angles: 90.00 106.70 90.00
Atoms (fractional coordinates):
1 Li 0.2268 0.0000 0.3537
2 Li 0.7732 0.0000 0.6463
3 Hf 0.0000 0.5000 0.0000
4 Hf 0.5000 0.0000 0.0000
5 Tl 0.2806 0.5000 0.6683
6 Tl 0.7194 0.5000 0.3317

***

No. 8
# LiHfTl

LiHfTl after structural relaxation (PBE, Alexandria).

Results
excess energy over the best structure of this formula in the dataset = 766.1 meV/atom
calculated formation energy = 0.655 eV/atom
V = 24.95 Å³ per atom

abc: 4.7307 4.7307 4.7307
angles: 60.00 60.00 60.00
Atoms (fractional coordinates):
1 Li 0.0000 0.0000 0.0000
2 Hf 0.7500 0.7500 0.7500
3 Tl 0.5000 0.5000 0.5000